DFT (PBE) results for a relaxed IrSeBr2 crystal.

Geometry as CIF:
```
data_IrSeBr2
_symmetry_space_group_name_H-M 'P 4/m m m'
_symmetry_Int_Tables_number 123
_symmetry_space_group_name_Hall '-P 4 2'
_cell_length_a 5.045
_cell_length_b 5.045
_cell_length_c 3.123
_cell_angle_alpha 90.00
_cell_angle_beta 90.00
_cell_angle_gamma 90.00
loop_
_atom_site_label
_atom_site_fract_x
_atom_site_fract_y
_atom_site_fract_z
_atom_site_occupancy
Ir1 0.000 0.000 0.000 1
Se1 0.500 0.500 0.000 1
Br1 0.000 0.500 0.500 1
```

Values from the calculation:
ΔE to the lowest computed polymorph	1.283	eV per atom
formation energy (no corrections)	1.22	eV/atom